# NaLiCaAl

A relaxed NaLiCaAl crystal (GGA-PBE, the Alexandria database).

Geometry as POSCAR:
```
NaLiCaAl
1.0
-3.205 -3.877 1.520
1.931 -4.804 0.900
0.258 -1.850 4.912
Ca Li Na Al
1 1 1 1
direct
0.500 0.500 0.500
0.000 0.000 0.000
0.250 0.250 0.250
0.750 0.750 0.750
```

Calculated values
Fermi-level density of states = 0.97 states/eV/atom
Electronic total energy = -8.86 eV/f.u.



# LiCaNdAl

A relaxed LiCaNdAl crystal (GGA-PBE, the Alexandria database).

Geometry as POSCAR:
```
LiCaNdAl
1.0
5.337 0.000 0.000
2.668 4.622 0.000
2.668 1.541 4.357
Nd Ca Al Li
1 1 1 1
direct
0.500 0.500 0.500
0.000 0.000 0.000
0.250 0.250 0.250
0.750 0.750 0.750
```

Calculated values
Fermi-level density of states = 0.83 states/eV/atom
Electronic total energy = -13.10 eV/f.u.



# Li3Ca2AlNi12

A relaxed Li3Ca2AlNi12 crystal (GGA-PBE, the Alexandria database).

Geometry as POSCAR:
```
Li3Ca2AlNi12
1.0
10.170 2.837 2.012
7.489 7.442 2.012
7.489 4.359 6.358
Li Al Ni Ca
3 1 12 2
direct
0.000 0.000 0.500
0.500 0.000 0.000
0.000 0.500 0.000
0.000 0.000 0.000
0.845 0.406 0.406
0.406 0.845 0.406
0.155 0.594 0.594
0.406 0.406 0.845
0.594 0.155 0.594
0.625 0.093 0.093
0.594 0.594 0.155
0.375 0.907 0.907
0.907 0.907 0.375
0.907 0.375 0.907
0.093 0.093 0.625
0.093 0.625 0.093
0.642 0.642 0.642
0.358 0.358 0.358
```

Calculated values
Fermi-level density of states = 1.24 states/eV/atom
Electronic total energy = -79.71 eV/f.u.



# LiCaAl2Ni

A relaxed LiCaAl2Ni crystal (GGA-PBE, the Alexandria database).

Geometry as POSCAR:
```
LiCaAl2Ni
1.0
4.549 0.000 0.000
0.000 4.549 0.000
0.000 0.000 4.778
Ni Li Ca Al
1 1 1 2
direct
0.000 0.000 0.000
0.000 0.000 0.500
0.500 0.500 0.500
0.000 0.500 0.000
0.500 0.000 0.000
```

Calculated values
Fermi-level density of states = 0.60 states/eV/atom
Electronic total energy = -18.35 eV/f.u.



# LiCaAlNi

A relaxed LiCaAlNi crystal (GGA-PBE, the Alexandria database).

Geometry as POSCAR:
```
LiCaAlNi
1.0
-3.348 -2.636 1.773
1.058 -3.967 2.108
-0.461 -0.376 4.577
Al Ni Li Ca
1 1 1 1
direct
0.000 0.000 0.000
0.250 0.250 0.250
0.750 0.750 0.750
0.500 0.500 0.500
```

Calculated values
Fermi-level density of states = 0.75 states/eV/atom
Electronic total energy = -14.03 eV/f.u.



# Li2CaAlO4

A relaxed Li2CaAlO4 crystal (GGA-PBE, the Alexandria database).

Geometry as POSCAR:
```
Li2CaAlO4
1.0
-2.576 -3.625 2.145
4.387 -1.369 1.805
-1.450 4.621 0.960
Li Ca Al O
2 1 1 4
direct
0.750 0.250 0.500
0.250 0.750 0.500
0.500 0.500 0.000
0.000 0.000 0.000
0.939 0.349 0.000
0.651 0.651 0.590
0.349 0.939 0.000
0.061 0.061 0.410
```

Calculated values
Raw formation energy = -2316 meV/atom
Fermi-level density of states = 0.59 states/eV/atom



# LiCaAlPb

A relaxed LiCaAlPb crystal (GGA-PBE, the Alexandria database).

Geometry as POSCAR:
```
LiCaAlPb
1.0
5.160 0.000 0.000
2.580 4.469 0.000
2.580 1.490 4.213
Li Al Ca Pb
1 1 1 1
direct
0.000 0.000 0.000
0.750 0.750 0.750
0.500 0.500 0.500
0.250 0.250 0.250
```

Calculated values
Fermi-level density of states = 0.47 states/eV/atom
Electronic total energy = -12.18 eV/f.u.



# LiCa2Al2Pd5

A relaxed LiCa2Al2Pd5 crystal (GGA-PBE, the Alexandria database).

Geometry as POSCAR:
```
LiCa2Al2Pd5
1.0
3.467 0.000 0.000
0.000 10.165 0.000
0.000 0.000 10.165
Pd Ca Al Li
10 4 4 2
direct
0.500 0.500 0.000
0.500 0.296 0.566
0.500 0.796 0.934
0.500 0.704 0.434
0.500 0.434 0.296
0.500 0.566 0.704
0.500 0.934 0.204
0.500 0.066 0.796
0.500 0.204 0.066
0.500 0.000 0.500
0.000 0.174 0.326
0.000 0.674 0.174
0.000 0.826 0.674
0.000 0.326 0.826
0.000 0.874 0.374
0.000 0.126 0.626
0.000 0.626 0.874
0.000 0.374 0.126
0.000 0.500 0.500
0.000 0.000 0.000
```

Calculated values
Fermi-level density of states = 0.22 states/eV/atom
Electronic total energy = -46.19 eV/f.u.



# LiCa2AlPd6

A relaxed LiCa2AlPd6 crystal (GGA-PBE, the Alexandria database).

Geometry as POSCAR:
```
LiCa2AlPd6
1.0
-7.576 -5.031 -0.597
0.737 -1.465 -5.345
-1.527 -6.319 -2.474
Pd Ca Al Li
6 2 1 1
direct
0.648 0.611 0.155
0.063 0.230 0.516
0.341 0.886 0.849
0.659 0.114 0.151
0.937 0.770 0.484
0.352 0.389 0.845
0.772 0.272 0.495
0.228 0.728 0.505
0.500 0.500 0.000
0.000 0.000 0.000
```

Calculated values
Fermi-level density of states = 0.34 states/eV/atom
Electronic total energy = -46.50 eV/f.u.



# LiCa2AlPd2

A relaxed LiCa2AlPd2 crystal (GGA-PBE, the Alexandria database).

Geometry as POSCAR:
```
LiCa2AlPd2
1.0
-1.965 -0.805 5.486
-4.627 -3.021 -2.100
7.181 -4.363 -1.223
Al Li Ca Pd
2 2 4 4
direct
0.500 0.750 0.000
0.500 0.250 0.000
0.000 0.250 0.000
0.000 0.750 0.000
0.590 0.828 0.655
0.935 0.672 0.345
0.065 0.328 0.655
0.410 0.172 0.345
0.832 0.109 0.218
0.615 0.391 0.782
0.385 0.609 0.218
0.168 0.891 0.782
```

Calculated values
Fermi-level density of states = 0.48 states/eV/atom
Electronic total energy = -23.75 eV/f.u.



# LiCa2Al12Pd3

A relaxed LiCa2Al12Pd3 crystal (GGA-PBE, the Alexandria database).

Geometry as POSCAR:
```
LiCa2Al12Pd3
1.0
7.908 -0.557 -0.395
3.421 7.152 -0.395
3.421 1.992 6.880
Al Ca Pd Li
12 2 3 1
direct
0.136 0.136 0.637
0.253 0.253 0.857
0.857 0.253 0.253
0.253 0.857 0.253
0.363 0.864 0.864
0.864 0.864 0.363
0.136 0.637 0.136
0.864 0.363 0.864
0.747 0.143 0.747
0.637 0.136 0.136
0.747 0.747 0.143
0.143 0.747 0.747
0.402 0.402 0.402
0.598 0.598 0.598
0.000 0.000 0.500
0.500 0.000 0.000
0.000 0.500 0.000
0.000 0.000 0.000
```

Calculated values
Fermi-level density of states = 0.50 states/eV/atom
Electronic total energy = -67.22 eV/f.u.



# LiCaAlPd

A relaxed LiCaAlPd crystal (GGA-PBE, the Alexandria database).

Geometry as POSCAR:
```
LiCaAlPd
1.0
-0.339 4.235 -2.070
-3.516 2.930 1.177
0.919 3.920 2.474
Al Pd Ca Li
1 1 1 1
direct
0.750 0.750 0.750
0.000 0.000 0.000
0.250 0.250 0.250
0.500 0.500 0.500
```

Calculated values
Fermi-level density of states = 0.64 states/eV/atom
Electronic total energy = -14.63 eV/f.u.



Look up the Fermi-level density of states of the eleventh one. 0.50 states/eV/atom



What is the formula in the twelfth record? LiCaAlPd